(1)
## CdGePd2 (PBE)

Data for a relaxed CdGePd2 crystal.

Its energy of formation is -0.192 eV per atom. Its crystal system is tetragonal. As for the density of states at the Fermi level: 1.463 states/eV/f.u.

It has space group I-42d (No. 122), with a = 7.151 Å, b = 7.151 Å, c = 5.699 Å, α = 90.00°, β = 90.00° and γ = 90.00°. The inequivalent atoms are Cd at (0.000, 0.000, 0.000), Ge at (0.000, 0.000, 0.500) and Pd at (0.209, 0.250, 0.625).

---

(2)
## Dy3YSb3 (PBE)

Data for a relaxed Dy3YSb3 crystal.

Its crystal system is trigonal. The uncorrected formation energy is -6.4 eV per formula unit. As for the density of states at the Fermi level: 4.940 states/eV/f.u. Its energy above the most stable polymorph in this dataset is 91.7 meV/atom.

It has space group R-3 (No. 148, hexagonal axes), with a = 8.9703 Å, b = 8.9703 Å, c = 18.4084 Å, α = 90.00°, β = 90.00° and γ = 120.00°. The inequivalent atoms are Dy at (0.0028, 0.2629, 0.0845), Y at (0.0000, 0.0000, 0.3338) and Sb at (0.0040, 0.3883, 0.9182).

---

(3)
## CaZn4Cu2 (PBE)

Data for a relaxed CaZn4Cu2 crystal.

Its energy of formation is 0.157 eV per atom. Its crystal system is tetragonal. As for the density of states at the Fermi level: 2.677 states/eV/f.u. Its energy above the most stable polymorph in this dataset is 330.7 meV/atom.

It has space group I4/mmm (No. 139), with a = 7.512 Å, b = 7.512 Å, c = 5.361 Å, α = 90.00°, β = 90.00° and γ = 90.00°. The inequivalent atoms are Ca at (0.000, 0.000, 0.000), Zn at (0.000, 0.237, 0.500) and Cu at (0.000, 0.500, 0.250).